Record 1
! KIr2Pt | Alexandria via LeMat-Bulk | PBE-GGA | relaxed; values from VASP
! - space-group type = I-4m2, No. 119
! - energy relative to the lowest polymorph listed for this composition (eV per atom) = 0.679
! - energy (Ha/atom) = -0.1918
! - crystal system = tetragonal
! - energy of formation (eV/atom) = 0.996
&SYSTEM
  ibrav = 0, nat = 4, ntyp = 3
/
ATOMIC_SPECIES
K 39.10 K.upf
Ir 192.22 Ir.upf
Pt 195.08 Pt.upf
ATOMIC_POSITIONS crystal
K 0.500 0.500 0.000
Ir 0.250 0.750 0.500
Ir 0.000 0.000 0.000
Pt 0.750 0.250 0.500
CELL_PARAMETERS angstrom
-2.591 -4.181 -0.163
1.289 -2.237 -4.190
2.832 1.801 3.599

***

Record 2
! RbCoMoBr2 | Alexandria via LeMat-Bulk | PBE-GGA | relaxed; values from VASP
! - space-group type = P4/mmm, No. 123
! - energy relative to the elements, uncorrected (meV/atom) = 370
! - energy (Ha/atom) = -0.1499
! - crystal system = tetragonal
&SYSTEM
  ibrav = 0, nat = 5, ntyp = 4
/
ATOMIC_SPECIES
Br 79.90 Br.upf
Mo 95.94 Mo.upf
Co 58.93 Co.upf
Rb 85.47 Rb.upf
ATOMIC_POSITIONS crystal
Br 0.500 0.000 0.000
Br 0.000 0.000 0.500
Mo 0.000 0.500 0.000
Co 0.000 0.000 0.000
Rb 0.500 0.500 0.500
CELL_PARAMETERS angstrom
-2.356 4.386 -2.049
-3.526 -2.638 -1.592
-2.645 0.742 4.631

***

Record 3
! UAg3I9 | Alexandria via LeMat-Bulk | PBE-GGA | relaxed; values from VASP
! - space-group type = Cc, No. 9
! - energy relative to the elements, uncorrected (meV/atom) = -416
! - energy (Ha/atom) = -0.1108
! - crystal system = monoclinic
&SYSTEM
  ibrav = 0, nat = 26, ntyp = 3
/
ATOMIC_SPECIES
U 238.03 U.upf
I 126.90 I.upf
Ag 107.87 Ag.upf
ATOMIC_POSITIONS crystal
U 0.375 0.021 0.545
U 0.059 0.521 0.045
I 0.058 0.164 0.653
I 0.568 0.440 0.185
I 0.686 0.879 0.441
I 0.130 0.674 0.820
I 0.982 0.374 0.276
I 0.041 0.562 0.535
I 0.994 0.379 0.941
I 0.862 0.062 0.035
I 0.126 0.664 0.153
I 0.405 0.219 0.616
I 0.369 0.874 0.776
I 0.315 0.957 0.117
I 0.807 0.940 0.685
I 0.760 0.719 0.116
I 0.339 0.831 0.471
I 0.376 0.174 0.320
I 0.611 0.457 0.617
I 0.359 0.331 0.971
Ag 0.888 0.984 0.837
Ag 0.882 0.452 0.529
Ag 0.137 0.952 0.029
Ag 0.676 0.201 0.652
Ag 0.291 0.484 0.337
Ag 0.471 0.701 0.152
CELL_PARAMETERS angstrom
-7.072 -7.423 4.738
3.465 -5.848 9.473
-7.117 4.108 9.275

***

Record 4
! AcEuTmCd | Alexandria via LeMat-Bulk | PBE-GGA | relaxed; values from VASP
! - space-group type = F-43m, No. 216
! - energy (Ha/atom) = -0.1786
! - crystal system = cubic
! - energy of formation (eV/atom) = 0.082
&SYSTEM
  ibrav = 0, nat = 4, ntyp = 4
/
ATOMIC_SPECIES
Tm 168.93 Tm.upf
Cd 112.41 Cd.upf
Eu 151.96 Eu.upf
Ac 227.00 Ac.upf
ATOMIC_POSITIONS crystal
Tm 0.000 0.000 0.000
Cd 0.750 0.750 0.750
Eu 0.500 0.500 0.500
Ac 0.250 0.250 0.250
CELL_PARAMETERS angstrom
5.727 0.000 0.000
2.863 4.960 0.000
2.863 1.653 4.676